[1]
## Mg2Mn3InS8 (GGA-PBE)

Data for a geometry-optimized Mg2Mn3InS8 structure.

The space group is R-3m (No. 166, hexagonal axes) and the conventional cell measures 7.3421, 7.3421 and 18.3156 Å, with angles of 90.00, 90.00 and 120.00 degrees. The asymmetric unit holds Mg at (0.0000, 0.0000, 0.1252), Mn at (0.0000, 0.5000, 0.0000), In at (0.0000, 0.0000, 0.5000), S at (0.0000, 0.0000, 0.2596) and S at (0.0225, 0.5113, 0.2604).

Its volume is 20.4 Å³/atom. The calculation puts the total energy at -5.496 eV/atom. The calculation puts the energy relative to the elements, uncorrected at -0.7491 eV/atom.

[2]
## Mg2MnIn3S8 (GGA-PBE)

Data for a geometry-optimized Mg2MnIn3S8 structure.

The space group is R-3m (No. 166, hexagonal axes) and the conventional cell measures 7.6264, 7.6264 and 18.4281 Å, with angles of 90.00, 90.00 and 120.00 degrees. The asymmetric unit holds Mg at (0.0000, 0.0000, 0.1236), Mn at (0.0000, 0.0000, 0.5000), In at (0.0000, 0.5000, 0.0000), S at (0.0000, 0.0000, 0.2570) and S at (0.0288, 0.5144, 0.2471).

Its volume is 22.1 Å³/atom. The calculation puts the total energy at -4.608 eV/atom. The calculation puts the energy relative to the elements, uncorrected at -0.7794 eV/atom.

[3]
## MgMnIn4Se8 (GGA-PBE)

Data for a geometry-optimized MgMnIn4Se8 structure.

The space group is R3m (No. 160, hexagonal axes) and the conventional cell measures 8.1018, 8.1018 and 19.6116 Å, with angles of 90.00, 90.00 and 120.00 degrees. The asymmetric unit holds Mg at (0.0000, 0.0000, 0.0000), Mn at (0.0000, 0.0000, 0.6239), In at (0.0000, 0.0000, 0.2389), In at (0.1712, 0.3424, 0.4515), Se at (0.0000, 0.0000, 0.3764), Se at (0.0000, 0.0000, 0.8652), Se at (0.0236, 0.5118, 0.3696) and Se at (0.1833, 0.3666, 0.2029).

Its volume is 26.5 Å³/atom. The calculation puts the total energy at -4.137 eV/atom. The calculation puts the energy relative to the elements, uncorrected at -0.5945 eV/atom.

[4]
## Mg2MnInTe (GGA-PBE)

Data for a geometry-optimized Mg2MnInTe structure.

The space group is P4/mmm (No. 123) and the conventional cell measures 5.139, 5.139 and 4.719 Å, with angles of 90.00, 90.00 and 90.00 degrees. The asymmetric unit holds Mg at (0.000, 0.500, 0.000), Mn at (0.000, 0.000, 0.000), In at (0.500, 0.500, 0.500) and Te at (0.000, 0.000, 0.500).

Its volume is 24.9 Å³/atom. The calculation puts the total energy at -3.360 eV/atom. The calculation puts the energy relative to the elements, uncorrected at 0.2875 eV/atom.

[5]
## Mg4InMo (GGA-PBE)

Data for a geometry-optimized Mg4InMo structure.

The space group is F-43m (No. 216) and the conventional cell measures 7.969, 7.969 and 7.969 Å, with angles of 90.00, 90.00 and 90.00 degrees. The asymmetric unit holds Mg at (0.124, 0.124, 0.124), In at (0.000, 0.000, 0.500) and Mo at (0.250, 0.250, 0.750).

Its volume is 21.1 Å³/atom. The calculation puts the total energy at -2.865 eV/atom. The calculation puts the formation energy at 0.46 eV/atom.

[6]
## MgInMo2 (GGA-PBE)

Data for a geometry-optimized MgInMo2 structure.

The space group is Cm (No. 8) and the conventional cell measures 9.502, 2.833 and 5.299 Å, with angles of 90.00, 94.52 and 90.00 degrees. The asymmetric unit holds Mg at (0.000, 0.000, 0.000), In at (0.251, 0.500, 0.241), Mo at (0.251, 0.000, 0.733) and Mo at (0.493, 0.000, 0.520).

Its volume is 17.8 Å³/atom. The calculation puts the total energy at -6.158 eV/atom. The calculation puts the polymorph energy (0 for the lowest one) at 210 meV per atom. The calculation puts the formation energy at 0.34 eV/atom.

[7]
## MgInMo (GGA-PBE)

Data for a geometry-optimized MgInMo structure.

The space group is I4mm (No. 107) and the conventional cell measures 2.883, 2.883 and 13.944 Å, with angles of 90.00, 90.00 and 90.00 degrees. The asymmetric unit holds Mg at (0.000, 0.000, 0.000), In at (0.000, 0.000, 0.687) and Mo at (0.000, 0.000, 0.347).

Its volume is 19.3 Å³/atom. The calculation puts the total energy at -4.751 eV/atom. The calculation puts the polymorph energy (0 for the lowest one) at 0 meV per atom. The calculation puts the formation energy at 0.30 eV/atom.

[8]
## MgIn2Mo (GGA-PBE)

Data for a geometry-optimized MgIn2Mo structure.

The space group is Pmmm (No. 47) and the conventional cell measures 3.044, 4.323 and 5.975 Å, with angles of 90.00, 90.00 and 90.00 degrees. The asymmetric unit holds Mg at (0.000, 0.000, 0.000), In at (0.500, 0.500, 0.259) and Mo at (0.000, 0.000, 0.500).

Its volume is 19.7 Å³/atom. The calculation puts the total energy at -4.258 eV/atom. The calculation puts the formation energy at 0.22 eV/atom.

[9]
## Mg2InMo (GGA-PBE)

Data for a geometry-optimized Mg2InMo structure.

The space group is Cmm2 (No. 35) and the conventional cell measures 3.791, 4.439 and 9.460 Å, with angles of 90.00, 90.00 and 90.00 degrees. The asymmetric unit holds Mg at (0.000, 0.000, 0.000), Mg at (0.000, 0.500, 0.269), In at (0.000, 0.500, 0.733) and Mo at (0.000, 0.000, 0.497).

Its volume is 19.9 Å³/atom. The calculation puts the total energy at -3.931 eV/atom. The calculation puts the formation energy at 0.26 eV/atom.

[10]
## MgInMo2 (GGA-PBE)

Data for a geometry-optimized MgInMo2 structure.

The space group is P4mm (No. 99) and the conventional cell measures 3.309, 3.309 and 6.656 Å, with angles of 90.00, 90.00 and 90.00 degrees. The asymmetric unit holds Mg at (0.000, 0.000, 0.000), In at (0.500, 0.500, 0.721), Mo at (0.000, 0.000, 0.444) and Mo at (0.500, 0.500, 0.258).

Its volume is 18.2 Å³/atom. The calculation puts the total energy at -6.368 eV/atom. The calculation puts the polymorph energy (0 for the lowest one) at 0 meV per atom. The calculation puts the formation energy at 0.13 eV/atom.

[11]
## Mg2InMo (GGA-PBE)

Data for a geometry-optimized Mg2InMo structure.

The space group is P4mm (No. 99) and the conventional cell measures 3.533, 3.533 and 6.290 Å, with angles of 90.00, 90.00 and 90.00 degrees. The asymmetric unit holds Mg at (0.000, 0.000, 0.000), Mg at (0.500, 0.500, 0.266), In at (0.500, 0.500, 0.724) and Mo at (0.000, 0.000, 0.495).

Its volume is 19.6 Å³/atom. The calculation puts the total energy at -3.863 eV/atom. The calculation puts the formation energy at 0.33 eV/atom.

[12]
## MgInMo (GGA-PBE)

Data for a geometry-optimized MgInMo structure.

The space group is Imm2 (No. 44) and the conventional cell measures 2.963, 3.993 and 9.493 Å, with angles of 90.00, 90.00 and 90.00 degrees. The asymmetric unit holds Mg at (0.000, 0.000, 0.000), In at (0.000, 0.000, 0.324) and Mo at (0.000, 0.000, 0.656).

Its volume is 18.7 Å³/atom. The calculation puts the total energy at -4.697 eV/atom. The calculation puts the polymorph energy (0 for the lowest one) at 54 meV per atom. The calculation puts the formation energy at 0.36 eV/atom.

volume of number 3 (MgMnIn4Se8)?
26.5 Å³/atom

Among the records above, which one has the highest volume?
MgMnIn4Se8